[1]
Pm6P2Se3Cl: optimized geometry, PBE.

Cell: 4.148 8.374 9.298 Å, 102.65 102.89 90.00°
Fractional coordinates of all 12 atoms:
Se 0.161 0.836 0.322
Se 0.500 0.500 0.000
Se 0.839 0.164 0.678
Pm 0.009 0.267 0.017
Pm 0.328 0.427 0.656
Pm 0.674 0.107 0.348
Pm 0.326 0.893 0.652
Pm 0.991 0.733 0.983
Pm 0.672 0.573 0.344
P 0.167 0.334 0.334
P 0.833 0.666 0.666
Cl 0.500 0.000 0.000

Results
- Symmetry: No. 12
- DFT total energy: -72.423 eV/cell



[2]
Pm4PSe2Cl: optimized geometry, PBE.

Cell: 4.124 7.213 7.242 Å, 71.10 90.00 90.00°
Fractional coordinates of all 8 atoms:
Pm 0.500 0.265 0.727
Pm 0.000 0.252 0.272
Pm 0.500 0.735 0.273
Pm 0.000 0.748 0.728
Se 0.000 0.000 0.000
Se 0.500 0.000 0.500
P 0.000 0.500 0.500
Cl 0.500 0.500 0.000

Results
- Symmetry: No. 10
- DFT total energy: -46.838 eV/cell



[3]
Pm6P2SeCl3: optimized geometry, PBE.

Cell: 4.156 8.291 9.260 Å, 102.54 102.97 90.00°
Fractional coordinates of all 12 atoms:
Pm 0.664 0.110 0.327
Pm 0.989 0.757 0.978
Pm 0.326 0.436 0.652
Pm 0.011 0.243 0.022
Pm 0.336 0.890 0.673
Pm 0.674 0.564 0.348
Cl 0.500 0.500 0.000
Cl 0.834 0.165 0.667
Cl 0.166 0.835 0.333
P 0.832 0.664 0.664
P 0.168 0.336 0.336
Se 0.500 0.000 0.000

Results
- Symmetry: No. 12
- DFT total energy: -67.488 eV/cell



[4]
Pm6SiP2Cl3: optimized geometry, PBE.

Cell: 4.129 8.416 9.373 Å, 104.11 102.73 90.00°
Fractional coordinates of all 12 atoms:
Si 0.500 0.000 0.000
Cl 0.500 0.500 0.000
Cl 0.834 0.168 0.668
Cl 0.166 0.832 0.332
Pm 0.340 0.896 0.680
Pm 0.992 0.764 0.984
Pm 0.675 0.563 0.349
Pm 0.008 0.236 0.016
Pm 0.325 0.437 0.651
Pm 0.660 0.104 0.320
P 0.167 0.334 0.335
P 0.833 0.666 0.665

Results
- Symmetry: No. 12
- DFT total energy: -67.934 eV/cell



Please write out number 3 again, unchanged.
Pm6P2SeCl3: optimized geometry, PBE.

Cell: 4.156 8.291 9.260 Å, 102.54 102.97 90.00°
Fractional coordinates of all 12 atoms:
Pm 0.664 0.110 0.327
Pm 0.989 0.757 0.978
Pm 0.326 0.436 0.652
Pm 0.011 0.243 0.022
Pm 0.336 0.890 0.673
Pm 0.674 0.564 0.348
Cl 0.500 0.500 0.000
Cl 0.834 0.165 0.667
Cl 0.166 0.835 0.333
P 0.832 0.664 0.664
P 0.168 0.336 0.336
Se 0.500 0.000 0.000

Results
- Symmetry: No. 12
- DFT total energy: -67.488 eV/cell